No. 1
## Al3CoRh2 (PBE)

Data for a geometry-optimized Al3CoRh2 structure.

It has space group P4/mmm (No. 123), with a = 2.962 Å, b = 2.962 Å, c = 8.837 Å, α = 90.00°, β = 90.00° and γ = 90.00°. The distinct sites, in fractional coordinates, are Al at (0.000, 0.000, 0.000), Al at (0.000, 0.000, 0.345), Co at (0.500, 0.500, 0.500) and Rh at (0.500, 0.500, 0.171).

As for the calculated volume: 77.5 Å³/cell. The calculated formation energy comes out at -0.924 eV/atom.

No. 2
## Na3Sb4Pb4 (PBE)

Data for a geometry-optimized Na3Sb4Pb4 structure.

It has space group Immm (No. 71), with a = 4.320 Å, b = 10.321 Å, c = 16.650 Å, α = 90.00°, β = 90.00° and γ = 90.00°. The distinct sites, in fractional coordinates, are Na at (0.000, 0.000, 0.000), Na at (0.000, 0.500, 0.099), Sb at (0.000, 0.000, 0.229), Sb at (0.000, 0.223, 0.500) and Pb at (0.000, 0.307, 0.329).

The calculation puts the formation energy without anion corrections at -1.0 eV/f.u. As for the calculated volume: 742.4 Å³/cell.